(1)
Here is an optimized crystal structure of Sr12Hg3Br5 from Alexandria via LeMat-Bulk. Energies are from PBE.

```
data_Sr12Hg3Br5
_chemical_formula_sum 'Sr48 Hg12 Br20'
_space_group_name_H-M_alt 'P 1'
_space_group_IT_number 1
_space_group_name_Hall 'P 1'
_cell_length_a 16.524
_cell_length_b 16.524
_cell_length_c 16.524
_cell_angle_alpha 109.47
_cell_angle_beta 109.47
_cell_angle_gamma 109.47
loop_
_atom_site_label
_atom_site_type_symbol
_atom_site_fract_x
_atom_site_fract_y
_atom_site_fract_z
Sr1 Sr 0.052 0.227 0.135
Sr2 Sr 0.052 0.325 0.918
Sr3 Sr 0.082 0.635 0.407
Sr4 Sr 0.082 0.948 0.675
Sr5 Sr 0.093 0.727 0.675
Sr6 Sr 0.093 0.865 0.418
Sr7 Sr 0.135 0.052 0.227
Sr8 Sr 0.135 0.582 0.907
Sr9 Sr 0.175 0.227 0.593
Sr10 Sr 0.175 0.448 0.582
Sr11 Sr 0.227 0.135 0.052
Sr12 Sr 0.227 0.593 0.175
Sr13 Sr 0.273 0.325 0.907
Sr14 Sr 0.273 0.448 0.365
Sr15 Sr 0.325 0.907 0.273
Sr16 Sr 0.325 0.918 0.052
Sr17 Sr 0.365 0.273 0.448
Sr18 Sr 0.365 0.593 0.918
Sr19 Sr 0.407 0.082 0.635
Sr20 Sr 0.407 0.825 0.773
Sr21 Sr 0.418 0.093 0.865
Sr22 Sr 0.418 0.825 0.552
Sr23 Sr 0.448 0.365 0.273
Sr24 Sr 0.448 0.582 0.175
Sr25 Sr 0.552 0.418 0.825
Sr26 Sr 0.552 0.635 0.727
Sr27 Sr 0.582 0.175 0.448
Sr28 Sr 0.582 0.907 0.135
Sr29 Sr 0.593 0.175 0.227
Sr30 Sr 0.593 0.918 0.365
Sr31 Sr 0.635 0.407 0.082
Sr32 Sr 0.635 0.727 0.552
Sr33 Sr 0.675 0.082 0.948
Sr34 Sr 0.675 0.093 0.727
Sr35 Sr 0.727 0.552 0.635
Sr36 Sr 0.727 0.675 0.093
Sr37 Sr 0.773 0.407 0.825
Sr38 Sr 0.773 0.865 0.948
Sr39 Sr 0.825 0.552 0.418
Sr40 Sr 0.825 0.773 0.407
Sr41 Sr 0.865 0.418 0.093
Sr42 Sr 0.865 0.948 0.773
Sr43 Sr 0.907 0.135 0.582
Sr44 Sr 0.907 0.273 0.325
Sr45 Sr 0.918 0.052 0.325
Sr46 Sr 0.918 0.365 0.593
Sr47 Sr 0.948 0.675 0.082
Sr48 Sr 0.948 0.773 0.865
Hg1 Hg 0.125 0.250 0.375
Hg2 Hg 0.125 0.375 0.750
Hg3 Hg 0.250 0.375 0.125
Hg4 Hg 0.250 0.875 0.625
Hg5 Hg 0.375 0.125 0.250
Hg6 Hg 0.375 0.750 0.125
Hg7 Hg 0.625 0.250 0.875
Hg8 Hg 0.625 0.875 0.750
Hg9 Hg 0.750 0.125 0.375
Hg10 Hg 0.750 0.625 0.875
Hg11 Hg 0.875 0.625 0.250
Hg12 Hg 0.875 0.750 0.625
Br1 Br 0.000 0.000 0.000
Br2 Br 0.000 0.000 0.500
Br3 Br 0.000 0.500 0.000
Br4 Br 0.000 0.500 0.500
Br5 Br 0.125 0.750 0.875
Br6 Br 0.125 0.875 0.250
Br7 Br 0.250 0.125 0.875
Br8 Br 0.250 0.625 0.375
Br9 Br 0.375 0.250 0.625
Br10 Br 0.375 0.625 0.750
Br11 Br 0.500 0.000 0.000
Br12 Br 0.500 0.000 0.500
Br13 Br 0.500 0.500 0.000
Br14 Br 0.500 0.500 0.500
Br15 Br 0.625 0.375 0.250
Br16 Br 0.625 0.750 0.375
Br17 Br 0.750 0.375 0.625
Br18 Br 0.750 0.875 0.125
Br19 Br 0.875 0.125 0.750
Br20 Br 0.875 0.250 0.125
```

Properties
Total DFT energy (no corrections)   -44.990 eV per formula unit
ρ   3.93 Mg/m³
Magnetization   0.0 μB/cell
Volume   43.4 Å³ per atom
Symmetry   Ia-3d


(2)
Here is an optimized crystal structure of Zr5ScC4 from Alexandria via LeMat-Bulk. Energies are from PBE.

```
data_Zr5ScC4
_chemical_formula_sum 'Zr5 Sc1 C4'
_space_group_name_H-M_alt 'P 1'
_space_group_IT_number 1
_space_group_name_Hall 'P 1'
_cell_length_a 7.425
_cell_length_b 7.425
_cell_length_c 6.719
_cell_angle_alpha 103.77
_cell_angle_beta 103.77
_cell_angle_gamma 26.02
loop_
_atom_site_label
_atom_site_type_symbol
_atom_site_fract_x
_atom_site_fract_y
_atom_site_fract_z
Zr1 Zr 0.000 0.000 0.000
Zr2 Zr 0.336 0.336 0.649
Zr3 Zr 0.338 0.338 0.183
Zr4 Zr 0.662 0.662 0.817
Zr5 Zr 0.664 0.664 0.351
Sc1 Sc 0.000 0.000 0.500
C1 C 0.169 0.169 0.590
C2 C 0.498 0.498 0.244
C3 C 0.502 0.502 0.756
C4 C 0.831 0.831 0.410
```

Properties
Energy of formation   -57.9 kJ per mole of atoms
ρ   5.79 Mg/m³
Magnetization   0.0 μB/cell
Volume   15.8 Å³ per atom
Symmetry   C2/m


(3)
Here is an optimized crystal structure of Mn2FeNi7Sn2 from Alexandria via LeMat-Bulk. Energies are from PBE.

```
data_Mn2FeNi7Sn2
_chemical_formula_sum 'Mn2 Fe1 Ni7 Sn2'
_space_group_name_H-M_alt 'P 1'
_space_group_IT_number 1
_space_group_name_Hall 'P 1'
_cell_length_a 3.440
_cell_length_b 3.440
_cell_length_c 14.186
_cell_angle_alpha 96.91
_cell_angle_beta 96.91
_cell_angle_gamma 90.00
loop_
_atom_site_label
_atom_site_type_symbol
_atom_site_fract_x
_atom_site_fract_y
_atom_site_fract_z
Mn1 Mn 0.127 0.127 0.256
Mn2 Mn 0.873 0.873 0.744
Fe1 Fe 0.500 0.500 0.000
Ni1 Ni 0.000 0.000 0.000
Ni2 Ni 0.064 0.564 0.130
Ni3 Ni 0.225 0.225 0.450
Ni4 Ni 0.436 0.936 0.870
Ni5 Ni 0.564 0.064 0.130
Ni6 Ni 0.775 0.775 0.550
Ni7 Ni 0.936 0.436 0.870
Sn1 Sn 0.318 0.318 0.635
Sn2 Sn 0.682 0.682 0.365
```

Properties
Energy of formation   8.6 kJ per mole of atoms
ρ   8.17 Mg/m³
Magnetization   12.1 μB/cell
Volume   13.8 Å³ per atom
Symmetry   C2/m